1.
Compound: LaBe2H2
Source: Alexandria
Functional: GGA-PBE
Structure: relaxed

Structure (CIF):
```
data_LaBe2H2
_chemical_formula_sum 'La1 Be2 H2'
_symmetry_space_group_name_H-M 'P 1'
_symmetry_Int_Tables_number 1
_symmetry_space_group_name_Hall 'P 1'
_cell_length_a 6.215
_cell_length_b 6.215
_cell_length_c 6.215
_cell_angle_alpha 150.52
_cell_angle_beta 150.52
_cell_angle_gamma 42.18
loop_
_atom_site_label
_atom_site_type_symbol
_atom_site_fract_x
_atom_site_fract_y
_atom_site_fract_z
La1 La 0.000 0.000 0.000
Be1 Be 0.250 0.750 0.500
Be2 Be 0.750 0.250 0.500
H1 H 0.410 0.410 0.000
H2 H 0.590 0.590 0.000
```

DOS(E_F) = 0.474 states/eV/atom
Total magnetic moment = 0.0 μB/cell
E = -17.8 eV for the cell shown
Space group = I4/mmm

2.
Compound: LaBe2H7
Source: Alexandria
Functional: GGA-PBE
Structure: relaxed

Structure (CIF):
```
data_LaBe2H7
_chemical_formula_sum 'La1 Be2 H7'
_symmetry_space_group_name_H-M 'P 1'
_symmetry_Int_Tables_number 1
_symmetry_space_group_name_Hall 'P 1'
_cell_length_a 5.025
_cell_length_b 5.025
_cell_length_c 3.378
_cell_angle_alpha 90.00
_cell_angle_beta 90.00
_cell_angle_gamma 119.74
loop_
_atom_site_label
_atom_site_type_symbol
_atom_site_fract_x
_atom_site_fract_y
_atom_site_fract_z
La1 La 0.000 0.000 0.000
Be1 Be 0.316 0.684 0.500
Be2 Be 0.684 0.316 0.500
H1 H 0.044 0.332 0.500
H2 H 0.295 0.705 0.000
H3 H 0.332 0.044 0.500
H4 H 0.500 0.500 0.500
H5 H 0.668 0.956 0.500
H6 H 0.705 0.295 0.000
H7 H 0.956 0.668 0.500
```

Total magnetic moment = 0.0 μB/cell
E = -36.8 eV for the cell shown
Space group = Cmmm